No. 1
10
Lattice="4.484 0.000 0.000 0.000 4.484 0.000 0.000 0.000 10.927" Properties=species:S:1:pos:R:3 comment="PBE Ca2Sn4Ir3Rh, relaxed" formation_enthalpy_0k_mev_per_atom=-499 pbc="T T T"
Ca 0.000 2.242 2.640
Ca 2.242 0.000 8.287
Sn 0.000 0.000 5.464
Sn 0.000 2.242 9.527
Sn 2.242 0.000 1.400
Sn 2.242 2.242 5.464
Ir 0.000 0.000 0.000
Ir 0.000 2.242 6.919
Ir 2.242 0.000 4.008
Rh 2.242 2.242 0.000


No. 2
11
Lattice="3.912 0.000 0.000 -1.945 7.442 0.000 -0.005 -1.468 14.584" Properties=species:S:1:pos:R:3 comment="PBE Sb4Se5Cl2, relaxed" raw_formation_energy_ev_per_fu=-3.07 pbc="T T T"
Sb 0.001 1.743 1.127
Sb 0.002 1.689 5.657
Sb 1.960 4.284 8.928
Sb 1.961 4.230 13.457
Se 0.003 0.427 3.364
Se 0.003 2.508 9.128
Se 1.956 0.000 0.000
Se 1.959 3.465 5.457
Se 1.959 5.547 11.220
Cl 0.006 2.418 12.829
Cl 1.957 3.555 1.755


No. 3
5
Lattice="4.009 0.000 0.000 0.000 4.009 0.000 0.000 0.000 4.009" Properties=species:S:1:pos:R:3 comment="PBE ScCuO3, relaxed" raw_formation_energy_ev_per_fu=-5.29 pbc="T T T"
Sc 0.000 0.000 0.000
Cu 2.004 2.004 2.004
O 0.000 0.000 2.004
O 0.000 2.004 0.000
O 2.004 0.000 0.000


No. 4
16
Lattice="5.221 -6.839 0.000 5.221 6.839 0.000 -4.727 0.000 10.725" Properties=species:S:1:pos:R:3 comment="PBE CsPrCuI5, relaxed" raw_formation_energy_ev_per_fu=-8.88 pbc="T T T"
Cs 1.676 4.897 8.044
Cs 4.039 -4.897 2.681
Pr 5.221 0.000 0.000
Pr 2.857 0.000 5.363
Cu 4.039 4.243 2.681
Cu 1.676 -4.243 8.044
I -2.362 1.117 9.931
I 2.290 2.838 4.082
I 0.001 -1.117 4.568
I 5.788 2.838 1.281
I 1.676 1.123 8.044
I 4.039 -1.123 2.681
I -0.073 -2.838 9.444
I 5.713 1.117 6.157
I 3.425 -2.838 6.644
I 8.077 -1.117 0.794


No. 5
6
Lattice="7.158 0.000 0.000 0.000 4.139 0.000 -0.343 0.000 7.443" Properties=species:S:1:pos:R:3 comment="PBE MnVI4, relaxed" raw_formation_energy_ev_per_fu=-2.64 pbc="T T T"
Mn 0.000 0.000 0.000
V 3.579 2.070 0.000
I 0.898 2.070 5.811
I 2.425 0.000 1.587
I 4.391 0.000 5.856
I 5.917 2.070 1.632


No. 6
19
Lattice="8.888 -5.851 0.000 8.888 5.851 0.000 -1.338 0.000 6.065" Properties=species:S:1:pos:R:3 comment="PBE Sm12Y5Tm2, relaxed" formation_enthalpy_0k_mev_per_atom=100 e_above_lowest_polymorph_mev_per_atom=0 pbc="T T T"
Sm 4.328 2.984 4.866
Sm 0.607 0.000 1.665
Sm 6.539 2.915 2.315
Sm 9.901 2.915 3.750
Sm 5.461 0.000 6.041
Sm 12.112 2.984 1.199
Sm 4.328 -2.984 4.866
Sm 10.978 0.000 0.024
Sm 6.539 -2.915 2.315
Sm 9.901 -2.915 3.750
Sm 15.833 0.000 4.400
Sm 12.112 -2.984 1.199
Y 1.984 0.000 5.230
Y 4.440 0.000 2.685
Y 8.220 0.000 3.033
Y 12.000 0.000 3.380
Y 14.455 0.000 0.836
Tm 8.888 2.729 0.000
Tm 8.888 -2.729 0.000


No. 7
6
Lattice="0.000 3.851 3.851 3.851 0.000 3.851 3.851 3.851 0.000" Properties=species:S:1:pos:R:3 comment="PBE CoAg4Hg, relaxed" formation_enthalpy_0k_mev_per_atom=499 pbc="T T T"
Co 0.000 0.000 0.000
Ag 2.885 2.885 2.885
Ag 4.816 4.816 2.885
Ag 4.816 2.885 4.816
Ag 2.885 4.816 4.816
Hg 5.776 5.776 5.776


No. 8
12
Lattice="3.585 -6.209 0.000 3.585 6.209 0.000 -2.393 0.000 6.759" Properties=species:S:1:pos:R:3 comment="PBE La2Ce3YP6, relaxed" formation_enthalpy_0k_mev_per_atom=-1537 pbc="T T T"
La 3.585 4.145 0.000
La 3.585 -4.145 0.000
Ce -1.196 0.000 3.379
Ce 2.388 2.084 3.379
Ce 2.388 -2.084 3.379
Y 3.585 0.000 0.000
P 0.026 2.022 5.020
P 1.251 0.000 1.748
P 0.026 -2.022 5.020
P 4.750 2.022 1.739
P 3.525 0.000 5.011
P 4.750 -2.022 1.739


No. 9
14
Lattice="4.583 0.000 0.000 0.000 4.583 0.000 0.000 0.000 14.700" Properties=species:S:1:pos:R:3 comment="PBE Zr4Ga2Co, relaxed" formation_enthalpy_0k_mev_per_atom=22 pbc="T T T"
Zr 0.000 0.000 2.652
Zr 0.000 0.000 12.048
Zr 0.000 2.291 0.000
Zr 0.000 2.291 7.350
Zr 2.291 0.000 0.000
Zr 2.291 0.000 7.350
Zr 2.291 2.291 4.698
Zr 2.291 2.291 10.002
Ga 0.000 0.000 5.400
Ga 0.000 0.000 9.299
Ga 2.291 2.291 1.950
Ga 2.291 2.291 12.750
Co 0.000 0.000 0.000
Co 2.291 2.291 7.350


No. 10
12
Lattice="3.616 -6.263 0.000 3.616 6.263 0.000 -2.411 0.000 8.142" Properties=species:S:1:pos:R:3 comment="PBE Cs3SmTh2S6, relaxed" raw_formation_energy_ev_per_fu=-20.48 pbc="T T T"
Cs 0.000 0.000 0.000
Cs 3.616 2.077 0.000
Cs 3.616 -2.077 0.000
Sm 2.411 0.000 4.071
Th 2.411 4.175 4.071
Th 2.411 -4.175 4.071
S 1.193 2.109 2.537
S -0.025 0.000 5.603
S 1.193 -2.109 2.537
S 3.629 2.109 5.606
S 4.846 0.000 2.539
S 3.629 -2.109 5.606


No. 11
12
Lattice="3.213 0.000 0.000 -1.606 2.782 0.000 0.000 0.000 28.881" Properties=species:S:1:pos:R:3 comment="PBE Sc2RuCl, relaxed" e_above_lowest_polymorph_mev_per_atom=645 raw_formation_energy_ev_per_fu=-1.39 pbc="T T T"
Sc 0.000 0.000 0.000
Sc 0.000 0.000 6.756
Sc 0.000 1.855 19.254
Sc 0.000 1.855 26.010
Sc 1.606 0.927 9.627
Sc 1.606 0.927 16.383
Ru 0.000 0.000 14.581
Ru 0.000 1.855 4.954
Ru 1.606 0.927 24.208
Cl 0.000 0.000 21.000
Cl 0.000 1.855 11.373
Cl 1.606 0.927 1.746


No. 12
12
Lattice="3.583 -10.045 0.000 3.583 10.045 0.000 -0.002 0.000 5.803" Properties=species:S:1:pos:R:3 comment="PBE AcTbSm4, relaxed" formation_enthalpy_0k_mev_per_atom=48 e_above_lowest_polymorph_mev_per_atom=17 pbc="T T T"
Ac 3.582 7.565 4.352
Ac 3.583 -7.565 1.451
Tb 3.583 2.554 1.451
Tb 3.582 -2.554 4.352
Sm 1.814 4.189 4.352
Sm 1.861 0.838 4.362
Sm 1.862 -0.838 1.460
Sm 1.815 -4.189 1.450
Sm 5.349 4.189 4.353
Sm 5.303 0.838 4.342
Sm 5.304 -0.838 1.441
Sm 5.350 -4.189 1.451